A plane-wave DFT calculation with PBE was carried out for crystalline Sr2Ca2Au at its relaxed geometry.

Its space-group type is P4/mbm (127). For the density of states at the Fermi level, the calculation gives 12.13 states/eV per cell. Its crystal system is tetragonal. The energy above the most stable polymorph in this dataset is 231.0 meV/atom. Its formation energy is -8 kJ per mole of atoms. The total magnetization comes out at 0.00 Bohr magnetons per cell.

a = 8.138 Å, b = 8.138 Å, c = 6.457 Å
α = 90.00°, β = 90.00°, γ = 90.00°
Element x y z (fractional)
1 Sr 0.336 0.836 0.000
2 Sr 0.836 0.664 0.000
3 Sr 0.664 0.164 0.000
4 Sr 0.164 0.336 0.000
5 Ca 0.165 0.665 0.500
6 Ca 0.665 0.835 0.500
7 Ca 0.835 0.335 0.500
8 Ca 0.335 0.165 0.500
9 Au 0.000 0.000 0.000
10 Au 0.500 0.500 0.000